Entry from Alexandria: AcMnSi2Os after structural relaxation (PBE).

a = 4.148 Å, b = 4.148 Å, c = 6.189 Å
α = 109.58°, β = 109.58°, γ = 90.00°
Site moments in Bohr magnetons follow the coordinates.
Fractional coordinates of all 5 atoms:
Ac 0.000 0.000 0.000  -0.02
Mn 0.250 0.750 0.500  2.62
Si 0.635 0.635 0.270  -0.05
Si 0.365 0.365 0.730  -0.05
Os 0.750 0.250 0.500  0.00

Output
Total DFT energy (no corrections), eV/atom: -7.624
Volume, Å³/atom: 18.75